Compound: Li2AlZnCd2Au2
Source: OQMD
Functional: PBE
Structure: relaxed

Summary:
**Density**: 9.0 Mg/m³
**Crystal system**: tetragonal
**Energy**: -2.4775 eV/atom

```
data_Li2AlZnCd2Au2
_cell_length_a 4.552
_cell_length_b 4.552
_cell_length_c 6.449
_cell_angle_alpha 90.00
_cell_angle_beta 90.00
_cell_angle_gamma 90.00
_space_group_name_H-M_alt 'P 1'
_space_group_IT_number 1
loop_
_space_group_symop_operation_xyz
'x,y,z'
loop_
_atom_site_label
_atom_site_type_symbol
_atom_site_fract_x
_atom_site_fract_y
_atom_site_fract_z
Li1 Li 0.000 0.500 0.243
Li2 Li 0.500 0.000 0.757
Al1 Al 0.000 0.000 0.500
Zn1 Zn 0.500 0.500 0.000
Cd1 Cd 0.000 0.000 0.000
Cd2 Cd 0.500 0.500 0.500
Au1 Au 0.000 0.500 0.744
Au2 Au 0.500 0.000 0.256
```

Compound: Li2AlZn2CdAu2
Source: OQMD
Functional: PBE
Structure: relaxed

Summary:
**Density**: 8.9 Mg/m³
**Crystal system**: tetragonal
**Energy**: -2.5607 eV/atom

```
data_Li2AlZn2CdAu2
_cell_length_a 4.466
_cell_length_b 4.466
_cell_length_c 6.375
_cell_angle_alpha 90.00
_cell_angle_beta 90.00
_cell_angle_gamma 90.00
_space_group_name_H-M_alt 'P 1'
_space_group_IT_number 1
loop_
_space_group_symop_operation_xyz
'x,y,z'
loop_
_atom_site_label
_atom_site_type_symbol
_atom_site_fract_x
_atom_site_fract_y
_atom_site_fract_z
Li1 Li 0.000 0.500 0.245
Li2 Li 0.500 0.000 0.755
Al1 Al 0.500 0.500 0.000
Zn1 Zn 0.000 0.000 0.000
Zn2 Zn 0.500 0.500 0.500
Cd1 Cd 0.000 0.000 0.500
Au1 Au 0.000 0.500 0.775
Au2 Au 0.500 0.000 0.225
```

Compound: PrNd2Al2Cd3Au
Source: OQMD
Functional: PBE
Structure: relaxed

Summary:
**Density**: 7.6 Mg/m³
**Crystal system**: orthorhombic
**Magnetic moment**: 0.002 μB/cell
**Energy**: -3.5531 eV/atom

```
data_PrNd2Al2Cd3Au
_cell_length_a 4.537
_cell_length_b 7.523
_cell_length_c 7.523
_cell_angle_alpha 120.01
_cell_angle_beta 90.00
_cell_angle_gamma 90.00
_space_group_name_H-M_alt 'P 1'
_space_group_IT_number 1
loop_
_space_group_symop_operation_xyz
'x,y,z'
loop_
_atom_site_label
_atom_site_type_symbol
_atom_site_fract_x
_atom_site_fract_y
_atom_site_fract_z
Pr1 Pr 0.000 0.000 0.000
Nd1 Nd 0.000 0.182 0.591
Nd2 Nd 0.000 0.591 0.182
Al1 Al 0.500 0.259 0.924
Al2 Al 0.500 0.924 0.259
Cd1 Cd 0.500 0.340 0.340
Cd2 Cd 0.500 0.590 0.842
Cd3 Cd 0.500 0.842 0.590
Au1 Au 0.000 0.590 0.590
```

Compound: Nd2YAl2Cd3Au
Source: OQMD
Functional: PBE
Structure: relaxed

Summary:
**Density**: 7.4 Mg/m³
**Crystal system**: orthorhombic
**Magnetic moment**: 0.008 μB/cell
**Energy**: -3.7520 eV/atom

```
data_Nd2YAl2Cd3Au
_cell_length_a 4.503
_cell_length_b 7.449
_cell_length_c 7.449
_cell_angle_alpha 119.74
_cell_angle_beta 90.00
_cell_angle_gamma 90.00
_space_group_name_H-M_alt 'P 1'
_space_group_IT_number 1
loop_
_space_group_symop_operation_xyz
'x,y,z'
loop_
_atom_site_label
_atom_site_type_symbol
_atom_site_fract_x
_atom_site_fract_y
_atom_site_fract_z
Nd1 Nd 0.000 0.205 0.795
Nd2 Nd 0.000 0.795 0.205
Y1 Y 0.000 0.386 0.386
Al1 Al 0.500 0.131 0.460
Al2 Al 0.500 0.460 0.131
Cd1 Cd 0.500 0.047 0.047
Cd2 Cd 0.500 0.542 0.793
Cd3 Cd 0.500 0.793 0.542
Au1 Au 0.000 0.789 0.789
```

Compound: Pr3Al2CdPdAu2
Source: OQMD
Functional: PBE
Structure: relaxed

Summary:
**Density**: 8.6 Mg/m³
**Crystal system**: orthorhombic
**Magnetic moment**: 0.002 μB/cell
**Energy**: -4.5432 eV/atom

```
data_Pr3Al2CdPdAu2
_cell_length_a 4.125
_cell_length_b 7.598
_cell_length_c 7.598
_cell_angle_alpha 118.13
_cell_angle_beta 90.00
_cell_angle_gamma 90.00
_space_group_name_H-M_alt 'P 1'
_space_group_IT_number 1
loop_
_space_group_symop_operation_xyz
'x,y,z'
loop_
_atom_site_label
_atom_site_type_symbol
_atom_site_fract_x
_atom_site_fract_y
_atom_site_fract_z
Pr1 Pr 0.000 0.000 0.000
Pr2 Pr 0.000 0.413 0.827
Pr3 Pr 0.000 0.827 0.413
Al1 Al 0.500 0.181 0.410
Al2 Al 0.500 0.410 0.181
Cd1 Cd 0.500 0.651 0.651
Pd1 Pd 0.000 0.385 0.385
Au1 Au 0.500 0.089 0.743
Au2 Au 0.500 0.743 0.089
```

Compound: Pr3AlCd2Pt2Au
Source: OQMD
Functional: PBE
Structure: relaxed

Summary:
**Density**: 10.0 Mg/m³
**Crystal system**: orthorhombic
**Magnetic moment**: 0.001 μB/cell
**Energy**: -4.7461 eV/atom

```
data_Pr3AlCd2Pt2Au
_cell_length_a 4.106
_cell_length_b 7.737
_cell_length_c 7.737
_cell_angle_alpha 121.18
_cell_angle_beta 90.00
_cell_angle_gamma 90.00
_space_group_name_H-M_alt 'P 1'
_space_group_IT_number 1
loop_
_space_group_symop_operation_xyz
'x,y,z'
loop_
_atom_site_label
_atom_site_type_symbol
_atom_site_fract_x
_atom_site_fract_y
_atom_site_fract_z
Pr1 Pr 0.000 0.000 0.000
Pr2 Pr 0.000 0.412 0.828
Pr3 Pr 0.000 0.828 0.412
Al1 Al 0.500 0.668 0.668
Cd1 Cd 0.500 0.164 0.415
Cd2 Cd 0.500 0.415 0.164
Pt1 Pt 0.500 0.055 0.741
Pt2 Pt 0.500 0.741 0.055
Au1 Au 0.000 0.447 0.447
```

Compound: PrY2Al2Cd3Au
Source: OQMD
Functional: PBE
Structure: relaxed

Summary:
**Density**: 7.1 Mg/m³
**Crystal system**: orthorhombic
**Magnetic moment**: 0.015 μB/cell
**Energy**: -3.9467 eV/atom

```
data_PrY2Al2Cd3Au
_cell_length_a 4.458
_cell_length_b 7.435
_cell_length_c 7.435
_cell_angle_alpha 120.33
_cell_angle_beta 90.00
_cell_angle_gamma 90.00
_space_group_name_H-M_alt 'P 1'
_space_group_IT_number 1
loop_
_space_group_symop_operation_xyz
'x,y,z'
loop_
_atom_site_label
_atom_site_type_symbol
_atom_site_fract_x
_atom_site_fract_y
_atom_site_fract_z
Pr1 Pr 0.000 0.000 0.000
Y1 Y 0.000 0.181 0.591
Y2 Y 0.000 0.591 0.181
Al1 Al 0.500 0.259 0.921
Al2 Al 0.500 0.921 0.259
Cd1 Cd 0.500 0.337 0.337
Cd2 Cd 0.500 0.588 0.841
Cd3 Cd 0.500 0.841 0.588
Au1 Au 0.000 0.582 0.582
```

Compound: K2AlAuCl6
Source: OQMD
Functional: PBE
Structure: relaxed

Summary:
**Density**: 3.3 Mg/m³
**Crystal system**: cubic
**Energy**: -3.3616 eV/atom

```
data_K2AlAuCl6
_cell_length_a 7.124
_cell_length_b 7.124
_cell_length_c 7.124
_cell_angle_alpha 60.00
_cell_angle_beta 60.00
_cell_angle_gamma 60.00
_space_group_name_H-M_alt 'P 1'
_space_group_IT_number 1
loop_
_space_group_symop_operation_xyz
'x,y,z'
loop_
_atom_site_label
_atom_site_type_symbol
_atom_site_fract_x
_atom_site_fract_y
_atom_site_fract_z
K1 K 0.250 0.250 0.250
K2 K 0.750 0.750 0.750
Al1 Al 0.000 0.000 0.000
Au1 Au 0.500 0.500 0.500
Cl1 Cl 0.232 0.232 0.768
Cl2 Cl 0.232 0.768 0.232
Cl3 Cl 0.232 0.768 0.768
Cl4 Cl 0.768 0.232 0.232
Cl5 Cl 0.768 0.232 0.768
Cl6 Cl 0.768 0.768 0.232
```

Compound: Al2CoAu
Source: OQMD
Functional: PBE
Structure: relaxed

Summary:
**Density**: 8.9 Mg/m³
**Crystal system**: cubic
**Magnetic moment**: 0.027 μB/cell
**Energy**: -4.5384 eV/atom

```
data_Al2CoAu
_cell_length_a 4.342
_cell_length_b 4.342
_cell_length_c 4.342
_cell_angle_alpha 60.00
_cell_angle_beta 60.00
_cell_angle_gamma 60.00
_space_group_name_H-M_alt 'P 1'
_space_group_IT_number 1
loop_
_space_group_symop_operation_xyz
'x,y,z'
loop_
_atom_site_label
_atom_site_type_symbol
_atom_site_fract_x
_atom_site_fract_y
_atom_site_fract_z
Al1 Al 0.000 0.000 0.000
Al2 Al 0.250 0.250 0.250
Co1 Co 0.750 0.750 0.750
Au1 Au 0.500 0.500 0.500
```

Compound: AlCoAu
Source: OQMD
Functional: PBE
Structure: relaxed

Summary:
**Density**: 9.9 Mg/m³
**Crystal system**: cubic
**Magnetic moment**: 0.015 μB/cell
**Energy**: -4.7198 eV/atom

```
data_AlCoAu
_cell_length_a 4.059
_cell_length_b 4.059
_cell_length_c 4.059
_cell_angle_alpha 60.00
_cell_angle_beta 60.00
_cell_angle_gamma 60.00
_space_group_name_H-M_alt 'P 1'
_space_group_IT_number 1
loop_
_space_group_symop_operation_xyz
'x,y,z'
loop_
_atom_site_label
_atom_site_type_symbol
_atom_site_fract_x
_atom_site_fract_y
_atom_site_fract_z
Al1 Al 0.000 0.000 0.000
Co1 Co 0.250 0.250 0.250
Au1 Au 0.750 0.750 0.750
```